# GGA-PBE InAsRu2, optimized geometry
data_InAsRu2
_symmetry_space_group_name_H-M 'P 1 2/m 1'
_symmetry_Int_Tables_number 10
_cell_length_a 3.050
_cell_length_b 3.869
_cell_length_c 5.752
_cell_angle_alpha 90.00
_cell_angle_beta 104.32
_cell_angle_gamma 90.00
loop_
_symmetry_equiv_pos_as_xyz
'x,y,z'
'-x,-y,-z'
'-x,y,-z'
'x,-y,z'
loop_
_atom_site_label
_atom_site_fract_x
_atom_site_fract_y
_atom_site_fract_z
_atom_site_occupancy
In1 0.000 0.000 0.000 1
As1 0.500 0.000 0.500 1
Ru1 0.366 0.500 0.724 1
# * energy of formation: 0.097 eV per atom
# * total DFT energy (no corrections): -6.388 eV per atom
# * polymorph energy (0 for the lowest one): 153 meV/atom

***

# GGA-PBE In2AsRu, optimized geometry
data_In2AsRu
_symmetry_space_group_name_H-M 'C m m m'
_symmetry_Int_Tables_number 65
_symmetry_space_group_name_Hall '-C 2 2'
_cell_length_a 6.025
_cell_length_b 8.020
_cell_length_c 3.147
_cell_angle_alpha 90.00
_cell_angle_beta 90.00
_cell_angle_gamma 90.00
loop_
_atom_site_label
_atom_site_fract_x
_atom_site_fract_y
_atom_site_fract_z
_atom_site_occupancy
In1 0.250 0.250 0.000 1
As1 0.000 0.000 0.500 1
Ru1 0.000 0.500 0.500 1
# * energy of formation: 0.268 eV per atom
# * total DFT energy (no corrections): -4.583 eV per atom

***

# GGA-PBE InAsRu2, optimized geometry
data_InAsRu2
_symmetry_space_group_name_H-M 'P 1 m 1'
_symmetry_Int_Tables_number 6
_cell_length_a 3.044
_cell_length_b 4.734
_cell_length_c 4.645
_cell_angle_alpha 90.00
_cell_angle_beta 90.11
_cell_angle_gamma 90.00
loop_
_symmetry_equiv_pos_as_xyz
'x,y,z'
'x,-y,z'
loop_
_atom_site_label
_atom_site_fract_x
_atom_site_fract_y
_atom_site_fract_z
_atom_site_occupancy
In1 0.000 0.000 0.000 1
As1 0.500 0.500 0.275 1
Ru1 0.001 0.500 0.681 1
Ru2 0.500 0.000 0.507 1
# * energy of formation: 0.114 eV per atom
# * total DFT energy (no corrections): -6.371 eV per atom
# * polymorph energy (0 for the lowest one): 170 meV/atom

***

# GGA-PBE In2AsRu, optimized geometry
data_In2AsRu
_symmetry_space_group_name_H-M 'R -3 m'
_symmetry_Int_Tables_number 166
_symmetry_space_group_name_Hall '-R 3 2"'
_cell_length_a 3.1881
_cell_length_b 3.1881
_cell_length_c 27.2990
_cell_angle_alpha 90.00
_cell_angle_beta 90.00
_cell_angle_gamma 120.00
loop_
_atom_site_label
_atom_site_fract_x
_atom_site_fract_y
_atom_site_fract_z
_atom_site_occupancy
In1 0.0000 0.0000 0.2416 1
As1 0.0000 0.0000 0.0000 1
Ru1 0.0000 0.0000 0.5000 1
# * energy of formation: 0.272 eV per atom
# * total DFT energy (no corrections): -4.578 eV per atom

***

# GGA-PBE InAsRu2, optimized geometry
data_InAsRu2
_symmetry_space_group_name_H-M 'I -4 m 2'
_symmetry_Int_Tables_number 119
_symmetry_space_group_name_Hall 'I -4 -2'
_cell_length_a 3.788
_cell_length_b 3.788
_cell_length_c 9.081
_cell_angle_alpha 90.00
_cell_angle_beta 90.00
_cell_angle_gamma 90.00
loop_
_atom_site_label
_atom_site_fract_x
_atom_site_fract_y
_atom_site_fract_z
_atom_site_occupancy
In1 0.000 0.000 0.000 1
As1 0.000 0.500 0.250 1
Ru1 0.000 0.000 0.500 1
Ru2 0.000 0.500 0.750 1
# * energy of formation: 0.355 eV per atom
# * total DFT energy (no corrections): -6.130 eV per atom
# * polymorph energy (0 for the lowest one): 410 meV/atom

***

# GGA-PBE In2AsRu2, optimized geometry
data_In2AsRu2
_symmetry_space_group_name_H-M 'I 4/m m m'
_symmetry_Int_Tables_number 139
_symmetry_space_group_name_Hall '-I 4 2'
_cell_length_a 3.834
_cell_length_b 3.834
_cell_length_c 13.118
_cell_angle_alpha 90.00
_cell_angle_beta 90.00
_cell_angle_gamma 90.00
loop_
_atom_site_label
_atom_site_fract_x
_atom_site_fract_y
_atom_site_fract_z
_atom_site_occupancy
In1 0.000 0.500 0.250 1
As1 0.000 0.000 0.000 1
Ru1 0.000 0.000 0.405 1
# * energy of formation: 0.561 eV per atom
# * total DFT energy (no corrections): -5.174 eV per atom
# * polymorph energy (0 for the lowest one): 537 meV/atom

***

# GGA-PBE In2AsRu, optimized geometry
data_In2AsRu
_symmetry_space_group_name_H-M 'I m m m'
_symmetry_Int_Tables_number 71
_symmetry_space_group_name_Hall '-I 2 2'
_cell_length_a 3.615
_cell_length_b 4.891
_cell_length_c 8.705
_cell_angle_alpha 90.00
_cell_angle_beta 90.00
_cell_angle_gamma 90.00
loop_
_atom_site_label
_atom_site_fract_x
_atom_site_fract_y
_atom_site_fract_z
_atom_site_occupancy
In1 0.000 0.000 0.245 1
As1 0.000 0.500 0.000 1
Ru1 0.000 0.500 0.500 1
# * energy of formation: 0.290 eV per atom
# * total DFT energy (no corrections): -4.561 eV per atom

***

# GGA-PBE In2AsRu, optimized geometry
data_In2AsRu
_symmetry_space_group_name_H-M 'I -4 2 d'
_symmetry_Int_Tables_number 122
_symmetry_space_group_name_Hall 'I -4 2bw'
_cell_length_a 9.573
_cell_length_b 9.573
_cell_length_c 4.585
_cell_angle_alpha 90.00
_cell_angle_beta 90.00
_cell_angle_gamma 90.00
loop_
_atom_site_label
_atom_site_fract_x
_atom_site_fract_y
_atom_site_fract_z
_atom_site_occupancy
In1 0.119 0.250 0.125 1
As1 0.000 0.000 0.500 1
Ru1 0.000 0.000 0.000 1
# * energy of formation: 0.142 eV per atom
# * total DFT energy (no corrections): -4.709 eV per atom

***

Q: Among the records above, which one has the lowest total DFT energy (no corrections)?
A: number 1

***

What did the fourth record say?
# GGA-PBE In2AsRu, optimized geometry
data_In2AsRu
_symmetry_space_group_name_H-M 'R -3 m'
_symmetry_Int_Tables_number 166
_symmetry_space_group_name_Hall '-R 3 2"'
_cell_length_a 3.1881
_cell_length_b 3.1881
_cell_length_c 27.2990
_cell_angle_alpha 90.00
_cell_angle_beta 90.00
_cell_angle_gamma 120.00
loop_
_atom_site_label
_atom_site_fract_x
_atom_site_fract_y
_atom_site_fract_z
_atom_site_occupancy
In1 0.0000 0.0000 0.2416 1
As1 0.0000 0.0000 0.0000 1
Ru1 0.0000 0.0000 0.5000 1
# * energy of formation: 0.272 eV per atom
# * total DFT energy (no corrections): -4.578 eV per atom

***

Q: Which of these has the lowest energy of formation?
A: number 1